Record 1
Computed, not measured: InTeOs2 after structural relaxation at the PBE level of DFT. Values from VASP.

Geometry as Quantum ESPRESSO input:
```
&SYSTEM
  ibrav = 0, nat = 4, ntyp = 3
/
ATOMIC_SPECIES
Te 127.60 Te.upf
Os 190.23 Os.upf
In 114.82 In.upf
CELL_PARAMETERS angstrom
2.968 -0.009 0.000
-1.513 2.554 0.000
0.000 0.000 10.567
ATOMIC_POSITIONS angstrom
Te 0.000 0.000 4.812
Os 0.728 1.273 2.411
Os 0.000 0.000 0.295
In 0.728 1.273 8.331
```

Calculated values
Space-group type   No. 35
Uncorrected formation energy   861 meV/atom
Energy above the lowest structure with this stoichiometry   465 meV per atom

Record 2
Computed, not measured: MgIO2 after structural relaxation at the PBE level of DFT. Values from VASP.

Geometry as Quantum ESPRESSO input:
```
&SYSTEM
  ibrav = 0, nat = 4, ntyp = 3
/
ATOMIC_SPECIES
O 16.00 O.upf
Mg 24.30 Mg.upf
I 126.90 I.upf
CELL_PARAMETERS angstrom
0.000 3.047 3.047
3.047 0.000 3.047
3.047 3.047 0.000
ATOMIC_POSITIONS angstrom
O 4.570 4.570 4.570
Mg 0.000 0.000 0.000
I 3.047 3.047 3.047
O 1.523 1.523 1.523
```

Calculated values
Space-group type   No. 225
Uncorrected formation energy   -61 meV/atom
Energy above the lowest structure with this stoichiometry   1257 meV per atom

Record 3
Computed, not measured: CaMgAl after structural relaxation at the PBE level of DFT. Values from VASP.

Geometry as Quantum ESPRESSO input:
```
&SYSTEM
  ibrav = 0, nat = 6, ntyp = 3
/
ATOMIC_SPECIES
Ca 40.08 Ca.upf
Mg 24.30 Mg.upf
Al 26.98 Al.upf
CELL_PARAMETERS angstrom
-1.343 -2.731 -2.901
4.065 0.330 -2.191
2.884 -6.125 4.427
ATOMIC_POSITIONS angstrom
Ca 1.841 -2.376 -0.527
Mg 5.726 -6.146 1.222
Ca 4.077 -5.435 -1.731
Al 2.886 -2.906 -3.558
Mg 3.077 -7.791 0.950
Al 3.032 -4.906 1.302
```

Calculated values
Space-group type   No. 59

Record 4
Computed, not measured: RbNa2YCl6 after structural relaxation at the PBE level of DFT. Values from VASP.

Geometry as Quantum ESPRESSO input:
```
&SYSTEM
  ibrav = 0, nat = 10, ntyp = 4
/
ATOMIC_SPECIES
Na 22.99 Na.upf
Cl 35.45 Cl.upf
Rb 85.47 Rb.upf
Y 88.91 Y.upf
CELL_PARAMETERS angstrom
7.265 0.003 -0.001
3.635 6.293 -0.001
3.632 2.098 6.630
ATOMIC_POSITIONS angstrom
Na 7.266 4.197 2.896
Cl 5.275 3.801 5.059
Rb 10.898 6.296 3.915
Cl 8.604 2.670 5.060
Cl 9.778 4.110 1.521
Na 3.635 2.099 6.511
Cl 5.932 2.064 1.523
Cl 6.087 6.418 1.522
Y 3.633 2.099 0.174
Cl 7.920 6.118 5.060
```

Calculated values
Space-group type   No. 146
Uncorrected formation energy   -2041 meV/atom

These records have energy values of -6.22, -3.33, -2.61, -4.16 eV per atom, in the order they appear.
These records have calculated volume values of 19.99, 14.14, 26.24, 30.31 A^3/atom, in the order they appear.